NpPd12Pt7: relaxed, GGA-PBE.

a = 12.7773 Å, b = 12.7773 Å, c = 7.1991 Å
α = 90.00°, β = 90.00°, γ = 120.00°
Space group R-3 (No. 148, hexagonal axes)
Asymmetric unit:
Np  0.0000  0.0000  0.0000 [3 per cell]
Pd  0.0217  0.7328  0.0605 [18 per cell]
Pd  0.0941  0.8639  0.4033 [18 per cell]
Pt  0.0000  0.0000  0.5000 [3 per cell]
Pt  0.0763  0.8835  0.7802 [18 per cell]

raw total energy: -5.856 eV/atom
crystal system: trigonal